The following is a DFT calculation (GGA-PBE) of crystalline TcNi at its relaxed geometry.

Lattice parameters (Å, degrees): 9.255 9.255 2.538 90.00 90.00 90.00
Space group P4/m (No. 83)
One atom of each set of equivalent atoms:
Tc: 0.102 0.367 0.000 (multiplicity 4)
Tc: 0.164 0.628 0.500 (multiplicity 4)
Ni: 0.088 0.846 0.000 (multiplicity 4)
Ni: 0.337 0.426 0.500 (multiplicity 4)

Output
M_tot	0.0	μB per formula unit
E_form	402	meV per atom
DOS at the Fermi energy	18.25	states/eV/cell
energy above the most stable polymorph in this dataset	0.444	eV/atom

***

The following is a DFT calculation (GGA-PBE) of crystalline TcNi3 at its relaxed geometry.

Lattice parameters (Å, degrees): 2.5932 2.5932 24.7749 90.00 90.00 120.00
Space group R-3m (No. 166, hexagonal axes)
One atom of each set of equivalent atoms:
Tc: 0.0000 0.0000 0.0000 (multiplicity 3)
Ni: 0.0000 0.0000 0.2478 (multiplicity 6)
Ni: 0.0000 0.0000 0.5000 (multiplicity 3)

Output
M_tot	1.1	μB per formula unit
E_form	89	meV per atom
DOS at the Fermi energy	20.48	states/eV/cell

***

- Look up the DOS at the Fermi energy of the second one.
  20.48 states/eV/cell

***

- Which formula does entry 1 have?
  TcNi

***

- The highest M_tot belongs to which entry?
  TcNi3

***

- Which of these has the lowest DOS at the Fermi energy?
  TcNi